## PdPt2Rh2 (GGA-PBE)

Data for PdPt2Rh2 after structural relaxation.

Geometry as CIF:
```
data_PdPt2Rh2
_chemical_formula_sum 'Pd2 Pt4 Rh4'
_space_group_name_H-M_alt 'I 4/m m m'
_space_group_IT_number 139
_space_group_name_Hall '-I 4 2'
_cell_length_a 4.7794
_cell_length_b 4.7794
_cell_length_c 7.8975
_cell_angle_alpha 90.00
_cell_angle_beta 90.00
_cell_angle_gamma 90.00
loop_
_atom_site_label
_atom_site_type_symbol
_atom_site_fract_x
_atom_site_fract_y
_atom_site_fract_z
Pd1 Pd 0.0000 0.0000 0.0000
Pt1 Pt 0.0000 0.0000 0.3469
Rh1 Rh 0.0000 0.5000 0.2500
```

Properties
Final energy (eV per atom): -5.831
Spin magnetization (μB per formula unit): 0.0
Relative energy among the computed polymorphs (eV per atom): 0.478
Formation enthalpy at 0 K (eV/f.u.): 2.82

## PdPt5Rh (GGA-PBE)

Data for PdPt5Rh after structural relaxation.

Geometry as CIF:
```
data_PdPt5Rh
_chemical_formula_sum 'Pd1 Pt5 Rh1'
_space_group_name_H-M_alt 'P 4/m m m'
_space_group_IT_number 123
_space_group_name_Hall '-P 4 2'
_cell_length_a 3.8750
_cell_length_b 3.8750
_cell_length_c 7.6817
_cell_angle_alpha 90.00
_cell_angle_beta 90.00
_cell_angle_gamma 90.00
loop_
_atom_site_label
_atom_site_type_symbol
_atom_site_fract_x
_atom_site_fract_y
_atom_site_fract_z
Pd1 Pd 0.0000 0.0000 0.0000
Pt1 Pt 0.0000 0.5000 0.2682
Pt2 Pt 0.5000 0.5000 0.0000
Rh1 Rh 0.0000 0.0000 0.5000
```

Properties
Final energy (eV per atom): -5.998
Spin magnetization (μB per formula unit): 0.0
Relative energy among the computed polymorphs (eV per atom): 0.000
Formation enthalpy at 0 K (eV/f.u.): 0.76

## PdPt5Rh4 (GGA-PBE)

Data for PdPt5Rh4 after structural relaxation.

Geometry as CIF:
```
data_PdPt5Rh4
_chemical_formula_sum 'Pd1 Pt5 Rh4'
_space_group_name_H-M_alt 'P 4/m m m'
_space_group_IT_number 123
_space_group_name_Hall '-P 4 2'
_cell_length_a 2.7666
_cell_length_b 2.7666
_cell_length_c 19.6050
_cell_angle_alpha 90.00
_cell_angle_beta 90.00
_cell_angle_gamma 90.00
loop_
_atom_site_label
_atom_site_type_symbol
_atom_site_fract_x
_atom_site_fract_y
_atom_site_fract_z
Pd1 Pd 0.0000 0.0000 0.0000
Pt1 Pt 0.5000 0.5000 0.1036
Pt2 Pt 0.5000 0.5000 0.3011
Pt3 Pt 0.5000 0.5000 0.5000
Rh1 Rh 0.0000 0.0000 0.2025
Rh2 Rh 0.0000 0.0000 0.4004
```

Properties
Final energy (eV per atom): -6.509
Spin magnetization (μB per formula unit): 0.0
Relative energy among the computed polymorphs (eV per atom): 0.000
Formation enthalpy at 0 K (eV/f.u.): -0.29

## Pd2PtRh (GGA-PBE)

Data for Pd2PtRh after structural relaxation.

Geometry as CIF:
```
data_Pd2PtRh
_chemical_formula_sum 'Pd4 Pt2 Rh2'
_space_group_name_H-M_alt 'P 63/m m c'
_space_group_IT_number 194
_space_group_name_Hall '-P 6c 2c'
_cell_length_a 2.7710
_cell_length_b 2.7710
_cell_length_c 18.1818
_cell_angle_alpha 90.00
_cell_angle_beta 90.00
_cell_angle_gamma 120.00
loop_
_atom_site_label
_atom_site_type_symbol
_atom_site_fract_x
_atom_site_fract_y
_atom_site_fract_z
Pd1 Pd 0.3333 0.6667 0.1219
Pt1 Pt 0.3333 0.6667 0.7500
Rh1 Rh 0.0000 0.0000 0.0000
```

Properties
Final energy (eV per atom): -5.921
Spin magnetization (μB per formula unit): 0.0
Relative energy among the computed polymorphs (eV per atom): 0.000
Formation enthalpy at 0 K (eV/f.u.): 0.10

## Pd2Pt4Rh3 (GGA-PBE)

Data for Pd2Pt4Rh3 after structural relaxation.

Geometry as CIF:
```
data_Pd2Pt4Rh3
_chemical_formula_sum 'Pd8 Pt16 Rh12'
_space_group_name_H-M_alt 'F m m m'
_space_group_IT_number 69
_space_group_name_Hall '-F 2 2'
_cell_length_a 4.8496
_cell_length_b 9.5473
_cell_length_c 12.2053
_cell_angle_alpha 90.00
_cell_angle_beta 90.00
_cell_angle_gamma 90.00
loop_
_atom_site_label
_atom_site_type_symbol
_atom_site_fract_x
_atom_site_fract_y
_atom_site_fract_z
Pd1 Pd 0.0000 0.0000 0.1157
Pt1 Pt 0.0000 0.1435 0.3154
Rh1 Rh 0.0000 0.0000 0.5000
Rh2 Rh 0.2500 0.2500 0.0000
```

Properties
Final energy (eV per atom): -6.103
Spin magnetization (μB per formula unit): 0.0
Relative energy among the computed polymorphs (eV per atom): 0.180
Formation enthalpy at 0 K (eV/f.u.): 1.68

## Pd2PtRh (GGA-PBE)

Data for Pd2PtRh after structural relaxation.

Geometry as CIF:
```
data_Pd2PtRh
_chemical_formula_sum 'Pd4 Pt2 Rh2'
_space_group_name_H-M_alt 'P m m n'
_space_group_IT_number 59
_cell_length_a 2.7653
_cell_length_b 9.1268
_cell_length_c 4.7915
_cell_angle_alpha 90.00
_cell_angle_beta 90.00
_cell_angle_gamma 90.00
loop_
_space_group_symop_operation_xyz
'x,y,z'
'-x,-y,-z'
'-x+1/2,-y+1/2,z'
'x+1/2,y+1/2,-z'
'x+1/2,-y,-z'
'-x+1/2,y,z'
'-x,y+1/2,-z'
'x,-y+1/2,z'
loop_
_atom_site_label
_atom_site_type_symbol
_atom_site_fract_x
_atom_site_fract_y
_atom_site_fract_z
Pd1 Pd 0.2500 0.0015 0.2485
Pt1 Pt 0.2500 0.2500 0.5841
Rh1 Rh 0.2500 0.7500 0.9159
```

Properties
Final energy (eV per atom): -5.916
Spin magnetization (μB per formula unit): 0.0
Relative energy among the computed polymorphs (eV per atom): 0.005
Formation enthalpy at 0 K (eV/f.u.): 0.12

## Pd3Pt3Rh2 (GGA-PBE)

Data for Pd3Pt3Rh2 after structural relaxation.

Geometry as CIF:
```
data_Pd3Pt3Rh2
_chemical_formula_sum 'Pd6 Pt6 Rh4'
_space_group_name_H-M_alt 'I m m m'
_space_group_IT_number 71
_space_group_name_Hall '-I 2 2'
_cell_length_a 3.9288
_cell_length_b 3.9406
_cell_length_c 15.6674
_cell_angle_alpha 90.00
_cell_angle_beta 90.00
_cell_angle_gamma 90.00
loop_
_atom_site_label
_atom_site_type_symbol
_atom_site_fract_x
_atom_site_fract_y
_atom_site_fract_z
Pd1 Pd 0.0000 0.0000 0.0000
Pd2 Pd 0.0000 0.5000 0.3721
Pt1 Pt 0.0000 0.0000 0.5000
Pt2 Pt 0.0000 0.5000 0.1280
Rh1 Rh 0.0000 0.0000 0.2505
```

Properties
Final energy (eV per atom): -6.049
Spin magnetization (μB per formula unit): 1.8
Relative energy among the computed polymorphs (eV per atom): 0.000
Formation enthalpy at 0 K (eV/f.u.): 0.01

## Pd4Pt4Rh (GGA-PBE)

Data for Pd4Pt4Rh after structural relaxation.

Geometry as CIF:
```
data_Pd4Pt4Rh
_chemical_formula_sum 'Pd8 Pt8 Rh2'
_space_group_name_H-M_alt 'P 42/n m c'
_space_group_IT_number 137
_cell_length_a 5.7828
_cell_length_b 5.7828
_cell_length_c 9.2893
_cell_angle_alpha 90.00
_cell_angle_beta 90.00
_cell_angle_gamma 90.00
loop_
_space_group_symop_operation_xyz
'x,y,z'
'-x,-y,-z'
'-y+1/2,x,z+1/2'
'y+1/2,-x,-z+1/2'
'-x+1/2,-y+1/2,z'
'x+1/2,y+1/2,-z'
'y,-x+1/2,z+1/2'
'-y,x+1/2,-z+1/2'
'x+1/2,-y,-z'
'-x+1/2,y,z'
'-y,-x,-z+1/2'
'y,x,z+1/2'
'-x,y+1/2,-z'
'x,-y+1/2,z'
'y+1/2,x+1/2,-z+1/2'
'-y+1/2,-x+1/2,z+1/2'
loop_
_atom_site_label
_atom_site_type_symbol
_atom_site_fract_x
_atom_site_fract_y
_atom_site_fract_z
Pd1 Pd 0.0060 0.7500 0.0096
Pt1 Pt 0.0350 0.2500 0.6913
Rh1 Rh 0.2500 0.7500 0.7500
```

Properties
Final energy (eV per atom): -5.482
Spin magnetization (μB per formula unit): 3.0
Relative energy among the computed polymorphs (eV per atom): 0.334
Formation enthalpy at 0 K (eV/f.u.): 2.95